MgAl2Ir | PBE-GGA | optimized geometry

Output
- SG = I-42d (122)
- M_tot (μB/f.u.) = 0.0
- DOS(E_F) (states/eV/cell) = 3.10
- crystal system = tetragonal
- VASP energy (eV/atom) = -4.5868

abc: 7.689 7.689 6.040
angles: 50.47 50.47 90.00
Element x y z (fractional)
Mg 0.500 0.500 0.000
Mg 0.250 0.750 0.500
Ir 0.000 0.000 0.000
Ir 0.750 0.250 0.500
Al 0.699 0.125 0.250
Al 0.051 0.625 0.250
Al 0.375 0.301 0.750
Al 0.875 0.949 0.750